Run A
A plane-wave DFT calculation with GGA-PBE was carried out for a relaxed Tl2ZnF crystal. Values from VASP.

Cell and atoms, written as Quantum ESPRESSO input:
```
&SYSTEM
  ibrav = 0, nat = 8, ntyp = 3
/
ATOMIC_SPECIES
Tl 204.38 Tl.upf
F 19.00 F.upf
Zn 65.41 Zn.upf
ATOMIC_POSITIONS crystal
Tl 0.180 0.625 0.250
F 0.250 0.750 0.500
Zn 0.750 0.250 0.500
F 0.500 0.500 0.000
Tl 0.375 0.430 0.750
Zn 0.000 0.000 0.000
Tl 0.570 0.125 0.250
Tl 0.875 0.820 0.750
CELL_PARAMETERS angstrom
5.576 0.000 0.000
0.000 5.576 0.000
2.788 2.788 7.520
```

Calculated values
Density of states at the Fermi level (states/eV per cell): 2.37

=====

Run B
A plane-wave DFT calculation with GGA-PBE was carried out for a relaxed Tl2ZnF crystal. Values from VASP.

Cell and atoms, written as Quantum ESPRESSO input:
```
&SYSTEM
  ibrav = 0, nat = 4, ntyp = 3
/
ATOMIC_SPECIES
F 19.00 F.upf
Zn 65.41 Zn.upf
Tl 204.38 Tl.upf
ATOMIC_POSITIONS crystal
F 0.000 0.000 0.000
Zn 0.500 0.500 0.500
Tl 0.750 0.750 0.750
Tl 0.250 0.250 0.250
CELL_PARAMETERS angstrom
0.000 3.539 3.539
3.539 0.000 3.539
3.539 3.539 0.000
```

Calculated values
Density of states at the Fermi level (states/eV per cell): 1.82

=====

Which structure is most stable? run B, by 0.6 kJ/mol of atoms over the runner-up.

=====

Run A
A plane-wave DFT calculation with GGA-PBE was carried out for a relaxed Tl3ZnF crystal. Values from VASP.

Cell and atoms, written as Quantum ESPRESSO input:
```
&SYSTEM
  ibrav = 0, nat = 5, ntyp = 3
/
ATOMIC_SPECIES
Tl 204.38 Tl.upf
Zn 65.41 Zn.upf
F 19.00 F.upf
ATOMIC_POSITIONS crystal
Tl 0.500 0.000 0.000
Zn 0.500 0.500 0.500
Tl 0.000 0.500 0.000
F 0.000 0.000 0.000
Tl 0.000 0.000 0.500
CELL_PARAMETERS angstrom
-0.217 0.143 5.240
-3.683 -3.736 -0.051
3.730 -3.681 0.255
```

Calculated values
Density of states at the Fermi level (states/eV per cell): 3.24

=====

Run B
A plane-wave DFT calculation with GGA-PBE was carried out for a relaxed Tl3ZnF crystal. Values from VASP.

Cell and atoms, written as Quantum ESPRESSO input:
```
&SYSTEM
  ibrav = 0, nat = 5, ntyp = 3
/
ATOMIC_SPECIES
Tl 204.38 Tl.upf
Zn 65.41 Zn.upf
F 19.00 F.upf
ATOMIC_POSITIONS crystal
Tl 0.500 0.000 0.000
Zn 0.000 0.000 0.000
Tl 0.000 0.000 0.500
F 0.500 0.500 0.500
Tl 0.000 0.500 0.000
CELL_PARAMETERS angstrom
5.392 0.000 0.000
0.000 5.392 0.000
0.000 0.000 5.392
```

Calculated values
Density of states at the Fermi level (states/eV per cell): 2.91

=====

Which structure is most stable? run A, by 21.1 kJ/mol of atoms over the runner-up.

=====

Run A
A plane-wave DFT calculation with GGA-PBE was carried out for a relaxed Tl3Zn2F7 crystal. Values from VASP.

Cell and atoms, written as Quantum ESPRESSO input:
```
&SYSTEM
  ibrav = 0, nat = 12, ntyp = 3
/
ATOMIC_SPECIES
F 19.00 F.upf
Tl 204.38 Tl.upf
Zn 65.41 Zn.upf
ATOMIC_POSITIONS crystal
F 0.000 0.179 0.358
Tl 0.500 0.500 0.000
F 0.000 0.000 0.000
F 0.000 0.408 0.816
Tl 0.500 0.682 0.363
F 0.000 0.821 0.642
F 0.000 0.592 0.184
F 0.500 0.908 0.816
Zn 0.000 0.092 0.183
Zn 0.000 0.908 0.817
F 0.500 0.092 0.184
Tl 0.500 0.318 0.637
CELL_PARAMETERS angstrom
4.152 0.000 0.000
0.000 4.202 0.000
0.000 -2.101 11.539
```

Calculated values
Density of states at the Fermi level (states/eV per cell): 0.00

=====

Run B
A plane-wave DFT calculation with GGA-PBE was carried out for a relaxed Tl3Zn2F7 crystal. Values from VASP.

Cell and atoms, written as Quantum ESPRESSO input:
```
&SYSTEM
  ibrav = 0, nat = 12, ntyp = 3
/
ATOMIC_SPECIES
F 19.00 F.upf
Tl 204.38 Tl.upf
Zn 65.41 Zn.upf
ATOMIC_POSITIONS crystal
F 0.093 0.593 0.186
F 0.183 0.183 0.366
Tl 0.500 0.500 0.000
F 0.407 0.907 0.814
F 0.817 0.817 0.634
Zn 0.907 0.907 0.813
Tl 0.685 0.685 0.371
Zn 0.093 0.093 0.187
F 0.907 0.407 0.814
F 0.593 0.093 0.186
Tl 0.315 0.315 0.629
F 0.000 0.000 0.000
CELL_PARAMETERS angstrom
-2.816 -0.979 -2.952
3.107 -1.055 -2.614
-0.503 -9.594 6.641
```

Calculated values
Density of states at the Fermi level (states/eV per cell): 0.00

=====

Which structure is most stable? run B, by 0.9 kJ/mol of atoms over the runner-up.

=====

Run A
A plane-wave DFT calculation with GGA-PBE was carried out for a relaxed Tl2ZnF4 crystal. Values from VASP.

Cell and atoms, written as Quantum ESPRESSO input:
```
&SYSTEM
  ibrav = 0, nat = 14, ntyp = 3
/
ATOMIC_SPECIES
F 19.00 F.upf
Tl 204.38 Tl.upf
Zn 65.41 Zn.upf
ATOMIC_POSITIONS crystal
F 0.068 0.750 0.306
F 0.330 0.750 0.067
F 0.670 0.250 0.933
Tl 0.320 0.250 0.019
Tl 0.680 0.750 0.981
F 0.619 0.005 0.388
Tl 0.975 0.250 0.335
Zn 0.394 0.750 0.382
F 0.381 0.995 0.612
Tl 0.025 0.750 0.665
F 0.932 0.250 0.694
F 0.381 0.505 0.612
F 0.619 0.495 0.388
Zn 0.606 0.250 0.618
CELL_PARAMETERS angstrom
6.566 0.000 0.040
0.000 5.783 0.000
-2.376 0.000 6.564
```

Calculated values
Density of states at the Fermi level (states/eV per cell): 0.00

=====

Run B
A plane-wave DFT calculation with GGA-PBE was carried out for a relaxed Tl2ZnF4 crystal. Values from VASP.

Cell and atoms, written as Quantum ESPRESSO input:
```
&SYSTEM
  ibrav = 0, nat = 28, ntyp = 3
/
ATOMIC_SPECIES
Zn 65.41 Zn.upf
F 19.00 F.upf
Tl 204.38 Tl.upf
ATOMIC_POSITIONS crystal
Zn 0.250 0.750 0.500
F 0.681 0.181 0.362
Tl 0.676 0.676 0.352
F 0.297 0.203 0.000
Zn 0.750 0.250 0.500
F 0.953 0.953 0.500
F 0.069 0.069 0.138
F 0.431 0.431 0.862
Tl 0.324 0.324 0.648
Tl 0.074 0.574 0.148
F 0.931 0.931 0.862
F 0.047 0.453 0.500
Tl 0.426 0.926 0.852
Zn 0.000 0.000 0.000
F 0.203 0.703 0.000
F 0.819 0.319 0.638
F 0.181 0.681 0.362
Tl 0.574 0.074 0.148
F 0.703 0.797 0.000
F 0.797 0.297 0.000
F 0.547 0.547 0.500
Zn 0.500 0.500 0.000
F 0.569 0.569 0.138
F 0.319 0.819 0.638
Tl 0.926 0.426 0.852
Tl 0.176 0.176 0.352
F 0.453 0.047 0.500
Tl 0.824 0.824 0.648
CELL_PARAMETERS angstrom
-3.333 -3.616 3.163
4.573 -1.205 3.439
-4.329 13.557 5.534
```

Calculated values
Density of states at the Fermi level (states/eV per cell): 0.00

=====

Which structure is most stable? run B, by 5.0 kJ/mol of atoms over the runner-up.

=====

Run A
A plane-wave DFT calculation with GGA-PBE was carried out for a relaxed Zr2Tl2F crystal. Values from VASP.

Cell and atoms, written as Quantum ESPRESSO input:
```
&SYSTEM
  ibrav = 0, nat = 10, ntyp = 3
/
ATOMIC_SPECIES
Zr 91.22 Zr.upf
Tl 204.38 Tl.upf
F 19.00 F.upf
ATOMIC_POSITIONS crystal
Zr 0.835 0.665 0.000
Tl 0.672 0.828 0.500
Zr 0.665 0.165 0.000
Zr 0.335 0.835 0.000
Tl 0.828 0.328 0.500
F 0.000 0.000 0.000
Tl 0.328 0.172 0.500
Tl 0.172 0.672 0.500
F 0.500 0.500 0.000
Zr 0.165 0.335 0.000
CELL_PARAMETERS angstrom
6.332 0.000 0.000
0.000 6.332 0.000
0.000 0.000 5.265
```

Calculated values
Density of states at the Fermi level (states/eV per cell): 5.18

=====

Run B
A plane-wave DFT calculation with GGA-PBE was carried out for a relaxed Zr2Tl2F crystal. Values from VASP.

Cell and atoms, written as Quantum ESPRESSO input:
```
&SYSTEM
  ibrav = 0, nat = 5, ntyp = 3
/
ATOMIC_SPECIES
Zr 91.22 Zr.upf
F 19.00 F.upf
Tl 204.38 Tl.upf
ATOMIC_POSITIONS crystal
Zr 0.595 0.595 0.811
F 0.000 0.000 0.000
Tl 0.750 0.250 0.500
Zr 0.405 0.405 0.189
Tl 0.250 0.750 0.500
CELL_PARAMETERS angstrom
4.113 0.000 0.000
0.000 4.113 0.000
2.056 2.056 7.318
```

Calculated values
Density of states at the Fermi level (states/eV per cell): 4.51

=====

Which structure is most stable? run A, by 92.6 kJ/mol of atoms over the runner-up.

=====

Run A
A plane-wave DFT calculation with GGA-PBE was carried out for a relaxed Zr3TlF crystal. Values from VASP.

Cell and atoms, written as Quantum ESPRESSO input:
```
&SYSTEM
  ibrav = 0, nat = 5, ntyp = 3
/
ATOMIC_SPECIES
Zr 91.22 Zr.upf
F 19.00 F.upf
Tl 204.38 Tl.upf
ATOMIC_POSITIONS crystal
Zr 0.000 0.500 0.000
F 0.500 0.500 0.500
Zr 0.000 0.000 0.500
Zr 0.500 0.000 0.000
Tl 0.000 0.000 0.000
CELL_PARAMETERS angstrom
-4.214 -3.392 0.824
2.773 -4.037 -2.441
2.121 -1.462 4.828
```

Calculated values
Density of states at the Fermi level (states/eV per cell): 6.43

=====

Run B
A plane-wave DFT calculation with GGA-PBE was carried out for a relaxed Zr3TlF crystal. Values from VASP.

Cell and atoms, written as Quantum ESPRESSO input:
```
&SYSTEM
  ibrav = 0, nat = 5, ntyp = 3
/
ATOMIC_SPECIES
F 19.00 F.upf
Tl 204.38 Tl.upf
Zr 91.22 Zr.upf
ATOMIC_POSITIONS crystal
F 0.000 0.000 0.000
Tl 0.500 0.500 0.500
Zr 0.500 0.000 0.000
Zr 0.000 0.000 0.500
Zr 0.000 0.500 0.000
CELL_PARAMETERS angstrom
4.606 0.000 0.000
0.000 4.606 0.000
0.000 0.000 4.606
```

Calculated values
Density of states at the Fermi level (states/eV per cell): 6.28

=====

Which structure is most stable? run B, by 160.7 kJ/mol of atoms over the runner-up.